Here is crystalline ZrAlRu at its relaxed geometry from the Alexandria database. Energies are from PBE-GGA.

## Properties
Symmetry = No. 63
ΔE_f = -0.636 eV per atom
Electronic total energy = -7.824 eV/atom
Total magnetic moment = 0.0 μB per formula unit

a b c (Å): 4.142 9.356 5.383
angles (deg): 90.00 90.00 90.00
Sites, in units of the cell vectors:
Zr (0.000, 0.214, 0.250)
Zr (0.000, 0.786, 0.750)
Zr (0.500, 0.286, 0.750)
Zr (0.500, 0.714, 0.250)
Al (0.000, 0.500, 0.000)
Al (0.000, 0.500, 0.500)
Al (0.500, 0.000, 0.000)
Al (0.500, 0.000, 0.500)
Ru (0.000, 0.090, 0.750)
Ru (0.000, 0.910, 0.250)
Ru (0.500, 0.410, 0.250)
Ru (0.500, 0.590, 0.750)